1.
! LiAl2Mo | Alexandria via LeMat-Bulk | PBE-GGA | optimized geometry; values from VASP
&SYSTEM
  ibrav = 0, nat = 4, ntyp = 3
/
ATOMIC_SPECIES
Al 26.98 Al.upf
Li 6.94 Li.upf
Mo 95.94 Mo.upf
CELL_PARAMETERS angstrom
5.339 0.003 -0.005
2.677 4.619 0.005
-3.465 -3.253 2.432
ATOMIC_POSITIONS angstrom
Al 0.005 0.003 0.000
Al 2.927 -0.477 1.214
Li 4.032 2.325 0.000
Mo 1.595 1.830 1.219
! Energy relative to the elements, kcal/mol of atoms: -1.9
! Polymorph energy (0 for the lowest one), meV per atom: 110
! Space group: Imm2, No. 44

2.
! Ta2MoPb | Alexandria via LeMat-Bulk | PBE-GGA | optimized geometry; values from VASP
&SYSTEM
  ibrav = 0, nat = 4, ntyp = 3
/
ATOMIC_SPECIES
Mo 95.94 Mo.upf
Pb 207.20 Pb.upf
Ta 180.95 Ta.upf
CELL_PARAMETERS angstrom
4.278 0.000 0.000
0.000 3.071 0.247
0.000 1.888 6.037
ATOMIC_POSITIONS angstrom
Mo 2.139 1.240 1.571
Pb 2.139 3.719 4.713
Ta 0.000 0.209 0.210
Ta 0.000 2.271 2.933
! Energy relative to the elements, kcal/mol of atoms: 8.2
! Space group: P2/m, No. 10

3.
! Y2TcRu | Alexandria via LeMat-Bulk | PBE-GGA | optimized geometry; values from VASP
&SYSTEM
  ibrav = 0, nat = 4, ntyp = 3
/
ATOMIC_SPECIES
Ru 101.07 Ru.upf
Tc 98.00 Tc.upf
Y 88.91 Y.upf
CELL_PARAMETERS angstrom
4.796 0.000 0.000
2.398 4.153 0.000
2.398 1.384 3.916
ATOMIC_POSITIONS angstrom
Ru 4.796 2.769 1.958
Tc 7.194 4.153 2.937
Y 0.000 0.000 0.000
Y 2.398 1.384 0.979
! Energy relative to the elements, kcal/mol of atoms: 5.5
! Space group: F-43m, No. 216

4.
! ScTe2NCl | Alexandria via LeMat-Bulk | PBE-GGA | optimized geometry; values from VASP
&SYSTEM
  ibrav = 0, nat = 5, ntyp = 4
/
ATOMIC_SPECIES
Sc 44.96 Sc.upf
N 14.01 N.upf
Te 127.60 Te.upf
Cl 35.45 Cl.upf
CELL_PARAMETERS angstrom
-0.672 0.461 -5.629
3.417 -4.481 -0.775
-3.170 -2.449 0.178
ATOMIC_POSITIONS angstrom
Sc 0.000 0.000 0.000
N -1.585 -1.224 0.089
Te 1.709 -2.240 -0.387
Te -0.336 0.231 -2.815
Cl -0.213 -3.234 -3.113
! Polymorph energy (0 for the lowest one), meV per atom: 0
! Formation energy from raw total energies, meV/atom: 247
! Space group: P4/mmm, No. 123

5.
! CeNdTeBr2 | Alexandria via LeMat-Bulk | PBE-GGA | optimized geometry; values from VASP
&SYSTEM
  ibrav = 0, nat = 5, ntyp = 4
/
ATOMIC_SPECIES
Ce 140.12 Ce.upf
Nd 144.24 Nd.upf
Te 127.60 Te.upf
Br 79.90 Br.upf
CELL_PARAMETERS angstrom
-2.849 2.509 2.660
-2.819 -3.654 0.427
6.498 -1.561 4.392
ATOMIC_POSITIONS angstrom
Ce 0.830 -0.483 1.344
Nd 0.007 -2.227 6.147
Te 3.642 -2.120 5.900
Br 0.415 0.183 4.310
Br 0.430 -2.898 3.194
! Formation energy from raw total energies, meV/atom: -1193
! Space group: I4mm, No. 107

6.
! Cr2HgOs | Alexandria via LeMat-Bulk | PBE-GGA | optimized geometry; values from VASP
&SYSTEM
  ibrav = 0, nat = 4, ntyp = 3
/
ATOMIC_SPECIES
Cr 52.00 Cr.upf
Hg 200.59 Hg.upf
Os 190.23 Os.upf
CELL_PARAMETERS angstrom
9.163 0.011 0.007
8.746 2.731 0.007
8.746 1.339 2.380
ATOMIC_POSITIONS angstrom
Cr 0.174 0.027 0.016
Cr 13.153 2.014 1.181
Hg 6.664 1.020 0.598
Os 19.991 3.061 1.795
! Energy relative to the elements, kcal/mol of atoms: 12.4
! Space group: R-3m, No. 166

7.
! DyErAgOs | Alexandria via LeMat-Bulk | PBE-GGA | optimized geometry; values from VASP
&SYSTEM
  ibrav = 0, nat = 4, ntyp = 4
/
ATOMIC_SPECIES
Dy 162.50 Dy.upf
Er 167.26 Er.upf
Ag 107.87 Ag.upf
Os 190.23 Os.upf
CELL_PARAMETERS angstrom
3.393 0.000 0.000
0.000 3.393 0.000
0.000 0.000 7.571
ATOMIC_POSITIONS angstrom
Dy 1.696 1.696 5.987
Er 1.696 1.696 2.653
Ag 0.000 0.000 0.569
Os 0.000 0.000 4.302
! Energy relative to the elements, kcal/mol of atoms: -7.8
! Polymorph energy (0 for the lowest one), meV per atom: 0
! Space group: P4mm, No. 99

8.
! TmPuTlRu | Alexandria via LeMat-Bulk | PBE-GGA | optimized geometry; values from VASP
&SYSTEM
  ibrav = 0, nat = 4, ntyp = 4
/
ATOMIC_SPECIES
Tm 168.93 Tm.upf
Pu 244.00 Pu.upf
Tl 204.38 Tl.upf
Ru 101.07 Ru.upf
CELL_PARAMETERS angstrom
3.327 0.000 0.000
0.000 3.327 0.000
0.000 0.000 8.347
ATOMIC_POSITIONS angstrom
Tm 1.663 1.663 6.475
Pu 1.663 1.663 3.064
Tl 0.000 0.000 0.564
Ru 0.000 0.000 4.794
! Energy relative to the elements, kcal/mol of atoms: -6.2
! Polymorph energy (0 for the lowest one), meV per atom: 0
! Space group: P4mm, No. 99

9.
! BeCuTc2 | Alexandria via LeMat-Bulk | PBE-GGA | optimized geometry; values from VASP
&SYSTEM
  ibrav = 0, nat = 4, ntyp = 3
/
ATOMIC_SPECIES
Be 9.01 Be.upf
Tc 98.00 Tc.upf
Cu 63.55 Cu.upf
CELL_PARAMETERS angstrom
3.935 0.000 0.000
0.000 3.598 0.000
0.000 0.000 3.598
ATOMIC_POSITIONS angstrom
Be 1.967 1.799 0.000
Tc 0.000 0.000 0.000
Tc 0.000 1.799 1.799
Cu 1.967 0.000 1.799
! Energy relative to the elements, kcal/mol of atoms: 4.4
! Space group: P4/mmm, No. 123

10.
! NaSmDy | Alexandria via LeMat-Bulk | PBE-GGA | optimized geometry; values from VASP
&SYSTEM
  ibrav = 0, nat = 6, ntyp = 3
/
ATOMIC_SPECIES
Na 22.99 Na.upf
Sm 150.36 Sm.upf
Dy 162.50 Dy.upf
CELL_PARAMETERS angstrom
-1.058 2.534 4.881
-2.557 -2.322 0.652
8.207 -5.133 4.445
ATOMIC_POSITIONS angstrom
Na 5.272 -4.797 9.072
Na 5.903 -3.833 5.507
Sm 0.279 -1.053 2.836
Sm 2.685 -2.450 7.295
Dy 3.594 -1.739 3.910
Dy -0.629 -1.764 6.221
! Energy relative to the elements, kcal/mol of atoms: 2.8
! Polymorph energy (0 for the lowest one), meV per atom: 0
! Space group: C2/m, No. 12